First-principles (PBE) data for Hf2CdCuH after structural relaxation, as listed in Alexandria.

Total magnetic moment ... 0.00 μB per cell
VASP energy ... -5.72 eV/atom

Geometry as CIF:
```
data_Hf2CdCuH
_cell_length_a 4.3763
_cell_length_b 4.3763
_cell_length_c 4.0578
_cell_angle_alpha 90.00
_cell_angle_beta 90.00
_cell_angle_gamma 90.00
_symmetry_space_group_name_H-M 'P 4/m m m'
_symmetry_Int_Tables_number 123
_symmetry_space_group_name_Hall '-P 4 2'
loop_
_atom_site_label
_atom_site_fract_x
_atom_site_fract_y
_atom_site_fract_z
Hf1 0.0000 0.5000 0.0000
Cd1 0.0000 0.0000 0.5000
Cu1 0.5000 0.5000 0.5000
H1 0.5000 0.5000 0.0000
```